# La5V3S6O7 PBE with a Hubbard U optimized geometry
# total energy	-312.94	eV per cell
# total magnetic moment	4.00	μB/f.u.
# ρ	5.35	g/cm³
data_La5V3S6O7
_symmetry_space_group_name_H-M 'P 1'
_symmetry_Int_Tables_number 1
_cell_length_a 3.823
_cell_length_b 10.326
_cell_length_c 18.107
_cell_angle_alpha 90.00
_cell_angle_beta 90.00
_cell_angle_gamma 90.00
loop_
_symmetry_equiv_pos_as_xyz
'x,y,z'
loop_
_atom_site_label
_atom_site_fract_x
_atom_site_fract_y
_atom_site_fract_z
La1 0.000 0.028 0.000
La2 0.000 0.034 0.769
La3 0.000 0.228 0.387
La4 0.000 0.584 0.549
La5 0.000 0.589 0.221
La6 0.500 0.411 0.721
La7 0.500 0.416 0.049
La8 0.500 0.772 0.887
La9 0.500 0.966 0.269
La10 0.500 0.972 0.500
V1 0.000 0.246 0.193
V2 0.000 0.249 0.578
V3 0.000 0.313 0.885
V4 0.500 0.687 0.385
V5 0.500 0.751 0.078
V6 0.500 0.754 0.693
S1 0.000 0.538 0.384
S2 0.000 0.645 0.004
S3 0.000 0.649 0.767
S4 0.000 0.851 0.623
S5 0.000 0.853 0.150
S6 0.000 0.856 0.385
S7 0.500 0.144 0.885
S8 0.500 0.147 0.650
S9 0.500 0.149 0.123
S10 0.500 0.351 0.267
S11 0.500 0.355 0.504
S12 0.500 0.462 0.884
O1 0.000 0.104 0.505
O2 0.000 0.111 0.261
O3 0.000 0.289 0.785
O4 0.000 0.294 0.987
O5 0.000 0.390 0.135
O6 0.000 0.405 0.640
O7 0.000 0.905 0.883
O8 0.500 0.095 0.383
O9 0.500 0.595 0.140
O10 0.500 0.610 0.635
O11 0.500 0.706 0.487
O12 0.500 0.711 0.285
O13 0.500 0.889 0.761
O14 0.500 0.896 0.005